(1)
A relaxed structure of Pr3Nd6Cd. Source: Alexandria, functional PBE. Values from VASP.

Geometry as Quantum ESPRESSO input:
```
&SYSTEM
  ibrav = 0, nat = 20, ntyp = 3
/
ATOMIC_SPECIES
Pr 140.91 Pr.upf
Nd 144.24 Nd.upf
Cd 112.41 Cd.upf
ATOMIC_POSITIONS angstrom
Pr 6.541 5.742 3.283
Pr 3.980 1.488 5.544
Pr 3.980 -1.488 2.261
Pr 9.103 1.488 5.544
Pr 9.103 -1.488 2.261
Pr 6.541 -5.742 0.000
Nd 1.612 0.838 3.283
Nd 3.734 3.195 2.018
Nd 1.612 -0.838 0.001
Nd 6.541 4.079 6.538
Nd 6.541 0.736 1.142
Nd 3.734 -3.195 5.301
Nd 9.348 3.195 2.018
Nd 6.541 -0.736 4.425
Nd 6.541 -4.079 3.255
Nd 11.471 0.838 3.283
Nd 9.348 -3.195 5.301
Nd 11.471 -0.838 0.001
Cd 6.541 2.569 3.714
Cd 6.541 -2.569 0.431
CELL_PARAMETERS angstrom
6.541 -8.098 0.000
6.541 8.098 0.000
0.000 0.000 6.566
```

The crystal system is orthorhombic. Its magnetization is 0.000 μB/atom. The relative energy among the computed polymorphs is 0.0868 eV/atom. The value obtained for the density of states at the Fermi level is 1.2140 states/eV/atom. The calculation puts the mass density at 6687 kg/m³. For the electronic total energy, the calculation gives -4.32 eV per atom. Its calculated formation energy is 0.62 eV per formula unit.


(2)
A relaxed structure of Pr3NdCd. Source: Alexandria, functional PBE. Values from VASP.

Geometry as Quantum ESPRESSO input:
```
&SYSTEM
  ibrav = 0, nat = 10, ntyp = 3
/
ATOMIC_SPECIES
Pr 140.91 Pr.upf
Nd 144.24 Nd.upf
Cd 112.41 Cd.upf
ATOMIC_POSITIONS angstrom
Pr 4.441 6.110 4.046
Pr 2.664 2.259 4.046
Pr 2.664 -2.259 1.349
Pr 6.218 2.259 4.046
Pr 6.218 -2.259 1.349
Pr 4.441 -6.110 1.349
Nd 4.441 0.819 1.349
Nd 4.441 -0.819 4.046
Cd 4.441 3.803 1.349
Cd 4.441 -3.803 4.046
CELL_PARAMETERS angstrom
4.441 -7.454 0.000
4.441 7.454 0.000
0.000 0.000 5.395
```

The crystal system is orthorhombic. Its magnetization is 0.000 μB/atom. The relative energy among the computed polymorphs is 0.1758 eV/atom. The value obtained for the density of states at the Fermi level is 0.9493 states/eV/atom. The calculation puts the mass density at 6317 kg/m³. For the electronic total energy, the calculation gives -3.94 eV per atom. Its calculated formation energy is 0.30 eV per formula unit.


(3)
A relaxed structure of Pr5NdCd3. Source: Alexandria, functional PBE. Values from VASP.

Geometry as Quantum ESPRESSO input:
```
&SYSTEM
  ibrav = 0, nat = 18, ntyp = 3
/
ATOMIC_SPECIES
Pr 140.91 Pr.upf
Nd 144.24 Nd.upf
Cd 112.41 Cd.upf
ATOMIC_POSITIONS angstrom
Pr -1.596 2.764 1.784
Pr -3.184 5.516 5.352
Pr 0.000 5.520 0.000
Pr 0.000 5.520 3.568
Pr 3.191 0.000 1.784
Pr 1.596 2.764 5.352
Pr 6.369 0.000 5.352
Pr 3.184 5.516 1.784
Pr 4.780 2.760 0.000
Pr 4.780 2.760 3.568
Nd 0.000 0.000 0.000
Nd 0.000 0.000 3.568
Cd -1.586 2.748 5.352
Cd -3.194 5.532 1.784
Cd 3.173 0.000 5.352
Cd 1.586 2.748 1.784
Cd 6.387 0.000 1.784
Cd 3.194 5.532 5.352
CELL_PARAMETERS angstrom
9.560 0.000 0.000
-4.780 8.279 0.000
0.000 0.000 7.136
```

The crystal system is hexagonal. Its magnetization is 0.000 μB/atom. The value obtained for the density of states at the Fermi level is 1.1821 states/eV/atom. The calculation puts the mass density at 6973 kg/m³. For the electronic total energy, the calculation gives -3.66 eV per atom. Its calculated formation energy is -1.50 eV per formula unit.